No. 1
# CaNb2O6

CaNb2O6 at its PBEsol-relaxed geometry (meta-GGA SCAN, the Alexandria database).

Properties
**Raw formation energy**: -3.011 eV/atom
**Total DFT energy (no corrections)**: -15.60 eV per atom
**Calculated density**: 4.702 Mg/m³
**Symmetry**: Pbcn (60)

The structure in CIF format:
```
data_CaNb2O6
_chemical_formula_sum 'Ca4 Nb8 O24'
_space_group_name_H-M_alt 'P 1'
_space_group_IT_number 1
_cell_length_a 5.2198
_cell_length_b 5.7877
_cell_length_c 15.0520
_cell_angle_alpha 90.00
_cell_angle_beta 90.00
_cell_angle_gamma 90.00
loop_
_space_group_symop_operation_xyz
'x,y,z'
loop_
_atom_site_label
_atom_site_fract_x
_atom_site_fract_y
_atom_site_fract_z
O1 0.4070 0.0954 0.0874
O2 0.1235 0.6365 0.2425
O3 0.0056 0.9293 0.4012
O4 0.6235 0.3635 0.2425
O5 0.0056 0.4293 0.0988
O6 0.6235 0.8635 0.2575
O7 0.5930 0.9046 0.9126
O8 0.3765 0.1365 0.7425
O9 0.0930 0.0954 0.9126
Nb1 0.7011 0.1867 0.6649
O10 0.5930 0.4046 0.5874
Nb2 0.7011 0.6867 0.8351
O11 0.0930 0.5954 0.5874
O12 0.4944 0.4293 0.9012
O13 0.8765 0.3635 0.7575
O14 0.4944 0.9293 0.5988
O15 0.9070 0.4046 0.4126
O16 0.9944 0.0707 0.5988
Nb3 0.7989 0.1867 0.3351
Nb4 0.7989 0.6867 0.1649
Ca1 0.7500 0.7210 0.5000
Nb5 0.2989 0.8133 0.3351
Ca2 0.7500 0.2210 0.0000
O17 0.4070 0.5954 0.4126
O18 0.3765 0.6365 0.7575
O19 0.5056 0.5707 0.0988
O20 0.5056 0.0707 0.4012
Ca3 0.2500 0.7790 0.0000
Nb6 0.2011 0.8133 0.6649
O21 0.9070 0.9046 0.0874
Nb7 0.2011 0.3133 0.8351
O22 0.9944 0.5707 0.9012
O23 0.1235 0.1365 0.2575
Nb8 0.2989 0.3133 0.1649
O24 0.8765 0.8635 0.7425
Ca4 0.2500 0.2790 0.5000
```



No. 2
# Li2AsRu

Li2AsRu at its PBEsol-relaxed geometry (meta-GGA SCAN, the Alexandria database).

Properties
**ΔE_f**: -0.24 eV per atom
**Total DFT energy (no corrections)**: -15.19 eV per atom
**Calculated density**: 6.012 Mg/m³
**Symmetry**: P4/mmm (123)

The structure in CIF format:
```
data_Li2AsRu
_chemical_formula_sum 'Li2 As1 Ru1'
_space_group_name_H-M_alt 'P 1'
_space_group_IT_number 1
_cell_length_a 3.5861
_cell_length_b 3.5861
_cell_length_c 4.0782
_cell_angle_alpha 90.00
_cell_angle_beta 90.00
_cell_angle_gamma 90.00
loop_
_space_group_symop_operation_xyz
'x,y,z'
loop_
_atom_site_label
_atom_site_fract_x
_atom_site_fract_y
_atom_site_fract_z
Li1 0.5000 0.0000 0.0000
Li2 0.0000 0.5000 0.0000
As1 0.0000 0.0000 0.5000
Ru1 0.5000 0.5000 0.5000
```



No. 3
# InRh2Se

InRh2Se at its PBEsol-relaxed geometry (meta-GGA SCAN, the Alexandria database).

Properties
**Raw formation energy**: -0.156 eV/atom
**Total DFT energy (no corrections)**: -30.41 eV per atom
**Calculated density**: 10.146 Mg/m³
**Symmetry**: Cm (8)

The structure in CIF format:
```
data_InRh2Se
_chemical_formula_sum 'In1 Rh2 Se1'
_space_group_name_H-M_alt 'P 1'
_space_group_IT_number 1
_cell_length_a 3.1550
_cell_length_b 4.5708
_cell_length_c 4.9432
_cell_angle_alpha 103.75
_cell_angle_beta 108.61
_cell_angle_gamma 90.00
loop_
_space_group_symop_operation_xyz
'x,y,z'
loop_
_atom_site_label
_atom_site_fract_x
_atom_site_fract_y
_atom_site_fract_z
Se1 0.5078 0.6090 0.0157
Rh1 0.2301 0.6760 0.4602
Rh2 0.0072 0.0209 0.0143
In1 0.7549 0.1940 0.5098
```



No. 4
# Mg2FeWO6

Mg2FeWO6 at its PBEsol-relaxed geometry (meta-GGA SCAN, the Alexandria database).

Properties
**Raw formation energy**: -2.360 eV/atom
**Total DFT energy (no corrections)**: -15.87 eV per atom
**Calculated density**: 6.266 Mg/m³
**Symmetry**: P2_1/c (14)
**Polymorph energy (0 for the lowest one)**: 0.035 eV per atom

The structure in CIF format:
```
data_Mg2FeWO6
_chemical_formula_sum 'Mg4 Fe2 W2 O12'
_space_group_name_H-M_alt 'P 1'
_space_group_IT_number 1
_cell_length_a 5.0972
_cell_length_b 5.2948
_cell_length_c 7.5469
_cell_angle_alpha 90.00
_cell_angle_beta 90.29
_cell_angle_gamma 90.00
loop_
_space_group_symop_operation_xyz
'x,y,z'
loop_
_atom_site_label
_atom_site_fract_x
_atom_site_fract_y
_atom_site_fract_z
Mg1 0.0105 0.5572 0.2397
O1 0.1306 0.0690 0.7392
O2 0.3155 0.8183 0.4422
Mg2 0.5105 0.9428 0.7397
O3 0.1711 0.3054 0.4204
W1 0.0000 0.0000 0.5000
Mg3 0.9895 0.4428 0.7603
Mg4 0.4895 0.0572 0.2603
O4 0.6845 0.1817 0.5578
W2 0.5000 0.5000 0.0000
O5 0.8694 0.9310 0.2608
O6 0.8289 0.6946 0.5796
Fe1 0.0000 0.0000 0.0000
O7 0.3694 0.5690 0.7608
O8 0.1845 0.3183 0.0578
O9 0.6711 0.1946 0.9204
O10 0.8155 0.6817 0.9422
O11 0.3289 0.8054 0.0796
O12 0.6306 0.4310 0.2392
Fe2 0.5000 0.5000 0.5000
```



No. 5
# YRhW2

YRhW2 at its PBEsol-relaxed geometry (meta-GGA SCAN, the Alexandria database).

Properties
**ΔE_f**: 0.05 eV per atom
**Total DFT energy (no corrections)**: -50.20 eV per atom
**Calculated density**: 13.321 Mg/m³
**Symmetry**: P4mm (99)
**Polymorph energy (0 for the lowest one)**: 0.000 eV per atom

The structure in CIF format:
```
data_YRhW2
_chemical_formula_sum 'Y1 Rh1 W2'
_space_group_name_H-M_alt 'P 1'
_space_group_IT_number 1
_cell_length_a 3.2205
_cell_length_b 3.2205
_cell_length_c 6.7247
_cell_angle_alpha 90.00
_cell_angle_beta 90.00
_cell_angle_gamma 90.00
loop_
_space_group_symop_operation_xyz
'x,y,z'
loop_
_atom_site_label
_atom_site_fract_x
_atom_site_fract_y
_atom_site_fract_z
W1 0.5000 0.5000 0.2121
Rh1 0.5000 0.5000 0.7721
W2 0.0000 0.0000 0.0094
Y1 0.0000 0.0000 0.5064
```



No. 6
# SrZnCrAs2

SrZnCrAs2 at its PBEsol-relaxed geometry (meta-GGA SCAN, the Alexandria database).

Properties
**ΔE_f**: 1.09 eV per atom
**Total DFT energy (no corrections)**: -17.82 eV per atom
**Calculated density**: 3.642 Mg/m³
**Symmetry**: P4/mmm (123)

The structure in CIF format:
```
data_SrZnCrAs2
_chemical_formula_sum 'Sr1 Zn1 Cr1 As2'
_space_group_name_H-M_alt 'P 1'
_space_group_IT_number 1
_cell_length_a 5.4061
_cell_length_b 5.4705
_cell_length_c 5.4705
_cell_angle_alpha 90.00
_cell_angle_beta 90.00
_cell_angle_gamma 90.00
loop_
_space_group_symop_operation_xyz
'x,y,z'
loop_
_atom_site_label
_atom_site_fract_x
_atom_site_fract_y
_atom_site_fract_z
As1 0.0000 0.5000 0.0000
As2 0.0000 0.0000 0.5000
Zn1 0.5000 0.0000 0.0000
Cr1 0.5000 0.5000 0.5000
Sr1 0.0000 0.0000 0.0000
```



No. 7
# CrPt2

CrPt2 at its PBEsol-relaxed geometry (meta-GGA SCAN, the Alexandria database).

Properties
**ΔE_f**: -0.34 eV per atom
**Total DFT energy (no corrections)**: -53.27 eV per atom
**Calculated density**: 17.889 Mg/m³
**Symmetry**: I4/mmm (139)

The structure in CIF format:
```
data_CrPt2
_chemical_formula_sum 'Cr1 Pt2'
_space_group_name_H-M_alt 'P 1'
_space_group_IT_number 1
_cell_length_a 2.6723
_cell_length_b 2.6723
_cell_length_c 6.0500
_cell_angle_alpha 102.76
_cell_angle_beta 102.76
_cell_angle_gamma 90.00
loop_
_space_group_symop_operation_xyz
'x,y,z'
loop_
_atom_site_label
_atom_site_fract_x
_atom_site_fract_y
_atom_site_fract_z
Pt1 0.3451 0.3451 0.6901
Pt2 0.6549 0.6549 0.3099
Cr1 0.0000 0.0000 0.0000
```



No. 8
# LaY2Rh2

LaY2Rh2 at its PBEsol-relaxed geometry (meta-GGA SCAN, the Alexandria database).

Properties
**ΔE_f**: -0.72 eV per atom
**Total DFT energy (no corrections)**: -33.99 eV per atom
**Calculated density**: 7.638 Mg/m³
**Symmetry**: P4/mbm (127)

The structure in CIF format:
```
data_LaY2Rh2
_chemical_formula_sum 'La2 Y4 Rh4'
_space_group_name_H-M_alt 'P 1'
_space_group_IT_number 1
_cell_length_a 3.9731
_cell_length_b 7.5622
_cell_length_c 7.5622
_cell_angle_alpha 90.00
_cell_angle_beta 90.00
_cell_angle_gamma 90.00
loop_
_space_group_symop_operation_xyz
'x,y,z'
loop_
_atom_site_label
_atom_site_fract_x
_atom_site_fract_y
_atom_site_fract_z
Rh1 0.0000 0.1409 0.3591
Rh2 0.0000 0.3591 0.8591
Rh3 0.0000 0.8591 0.6409
Y1 0.5000 0.8440 0.3440
Rh4 0.0000 0.6409 0.1409
Y2 0.5000 0.3440 0.1560
Y3 0.5000 0.1560 0.6560
La1 0.0000 0.0000 0.0000
La2 0.0000 0.5000 0.5000
Y4 0.5000 0.6560 0.8440
```



No. 9
# Zr2Ge2Pt

Zr2Ge2Pt at its PBEsol-relaxed geometry (meta-GGA SCAN, the Alexandria database).

Properties
**ΔE_f**: -1.00 eV per atom
**Total DFT energy (no corrections)**: -34.95 eV per atom
**Calculated density**: 9.981 Mg/m³
**Symmetry**: P4/mbm (127)

The structure in CIF format:
```
data_Zr2Ge2Pt
_chemical_formula_sum 'Zr4 Ge4 Pt2'
_space_group_name_H-M_alt 'P 1'
_space_group_IT_number 1
_cell_length_a 4.0802
_cell_length_b 6.5295
_cell_length_c 6.5295
_cell_angle_alpha 90.00
_cell_angle_beta 90.00
_cell_angle_gamma 90.00
loop_
_space_group_symop_operation_xyz
'x,y,z'
loop_
_atom_site_label
_atom_site_fract_x
_atom_site_fract_y
_atom_site_fract_z
Zr1 0.5000 0.1716 0.6716
Ge1 0.0000 0.6337 0.1337
Pt1 0.0000 0.0000 0.0000
Ge2 0.0000 0.8663 0.6337
Zr2 0.5000 0.6716 0.8284
Zr3 0.5000 0.8284 0.3284
Zr4 0.5000 0.3284 0.1716
Ge3 0.0000 0.1337 0.3663
Ge4 0.0000 0.3663 0.8663
Pt2 0.0000 0.5000 0.5000
```



No. 10
# LaTiAu2

LaTiAu2 at its PBEsol-relaxed geometry (meta-GGA SCAN, the Alexandria database).

Properties
**ΔE_f**: -0.61 eV per atom
**Total DFT energy (no corrections)**: -49.97 eV per atom
**Calculated density**: 11.148 Mg/m³
**Symmetry**: Fm-3m (225)

The structure in CIF format:
```
data_LaTiAu2
_chemical_formula_sum 'La1 Ti1 Au2'
_space_group_name_H-M_alt 'P 1'
_space_group_IT_number 1
_cell_length_a 4.9641
_cell_length_b 4.9641
_cell_length_c 4.9641
_cell_angle_alpha 60.00
_cell_angle_beta 60.00
_cell_angle_gamma 60.00
loop_
_space_group_symop_operation_xyz
'x,y,z'
loop_
_atom_site_label
_atom_site_fract_x
_atom_site_fract_y
_atom_site_fract_z
Ti1 0.0000 0.0000 0.0000
Au1 0.7500 0.7500 0.7500
La1 0.5000 0.5000 0.5000
Au2 0.2500 0.2500 0.2500
```



No. 11
# TaTeRh

TaTeRh at its PBEsol-relaxed geometry (meta-GGA SCAN, the Alexandria database).

Properties
**Raw formation energy**: -0.127 eV/atom
**Total DFT energy (no corrections)**: -46.00 eV per atom
**Calculated density**: 11.242 Mg/m³
**Symmetry**: P3m1 (156)

The structure in CIF format:
```
data_TaTeRh
_chemical_formula_sum 'Ta1 Te1 Rh1'
_space_group_name_H-M_alt 'P 1'
_space_group_IT_number 1
_cell_length_a 3.5296
_cell_length_b 3.5296
_cell_length_c 5.6330
_cell_angle_alpha 90.00
_cell_angle_beta 90.00
_cell_angle_gamma 120.00
loop_
_space_group_symop_operation_xyz
'x,y,z'
loop_
_atom_site_label
_atom_site_fract_x
_atom_site_fract_y
_atom_site_fract_z
Ta1 0.3333 0.6667 0.7027
Rh1 0.0000 0.0000 0.9593
Te1 0.6667 0.3333 0.3380
```



No. 12
# CsKHgH2

CsKHgH2 at its PBEsol-relaxed geometry (meta-GGA SCAN, the Alexandria database).

Properties
**Total DFT energy (no corrections)**: -23.95 eV per atom
**Calculated density**: 3.120 Mg/m³
**Symmetry**: P4/mmm (123)

The structure in CIF format:
```
data_CsKHgH2
_chemical_formula_sum 'Cs1 K1 Hg1 H2'
_space_group_name_H-M_alt 'P 1'
_space_group_IT_number 1
_cell_length_a 5.5406
_cell_length_b 5.5406
_cell_length_c 6.4945
_cell_angle_alpha 90.00
_cell_angle_beta 90.00
_cell_angle_gamma 90.00
loop_
_space_group_symop_operation_xyz
'x,y,z'
loop_
_atom_site_label
_atom_site_fract_x
_atom_site_fract_y
_atom_site_fract_z
K1 0.5000 0.5000 0.5000
Cs1 0.0000 0.0000 0.0000
H1 0.0000 0.5000 0.0000
H2 0.5000 0.0000 0.0000
Hg1 0.0000 0.0000 0.5000
```